# 1
InSn2Au4: relaxed, GGA-PBE.

- Space-group type: Pbam, No. 55
- E above lowest polymorph: 0.0000 eV per atom
- Spin magnetization: 0.0000 μB/atom
- Energy of formation: -115 meV per atom
- VASP energy: -49.31 eV for the cell shown

Lattice parameters (Å, degrees): 7.207 10.978 4.110 90.00 90.00 90.00
Sites, in units of the cell vectors:
In (0.000, 0.000, 0.000)
In (0.500, 0.500, 0.000)
Sn (0.143, 0.339, 0.500)
Sn (0.357, 0.839, 0.500)
Sn (0.643, 0.161, 0.500)
Sn (0.857, 0.661, 0.500)
Au (0.109, 0.747, 0.000)
Au (0.249, 0.581, 0.500)
Au (0.251, 0.081, 0.500)
Au (0.391, 0.247, 0.000)
Au (0.609, 0.753, 0.000)
Au (0.749, 0.919, 0.500)
Au (0.751, 0.419, 0.500)
Au (0.891, 0.253, 0.000)

# 2
Y2NiRu3: relaxed, GGA-PBE.

- Space-group type: R-3m, No. 166
- Spin magnetization: 0.0000 μB/atom
- Energy of formation: -349 meV per atom
- VASP energy: -48.63 eV for the cell shown

Lattice parameters (Å, degrees): 5.313 5.313 5.313 59.37 59.37 59.37
Sites, in units of the cell vectors:
Y (0.123, 0.123, 0.123)
Y (0.877, 0.877, 0.877)
Ni (0.500, 0.500, 0.500)
Ru (0.000, 0.500, 0.500)
Ru (0.500, 0.000, 0.500)
Ru (0.500, 0.500, 0.000)

# 3
CeNdCuPt: relaxed, GGA-PBE.

- Space-group type: Amm2, No. 38
- E above lowest polymorph: 0.0000 eV per atom
- Spin magnetization: 0.2321 μB/atom
- Energy of formation: -616 meV per atom
- VASP energy: -46.61 eV for the cell shown

Lattice parameters (Å, degrees): 4.603 3.891 10.630 90.00 90.00 90.00
Sites, in units of the cell vectors:
Ce (0.000, 0.000, 0.000)
Ce (0.000, 0.500, 0.500)
Nd (0.500, 0.000, 0.722)
Nd (0.500, 0.500, 0.222)
Cu (0.500, 0.000, 0.440)
Cu (0.500, 0.500, 0.940)
Pt (0.000, 0.000, 0.288)
Pt (0.000, 0.500, 0.788)

# 4
PrPuZnHg: relaxed, GGA-PBE.

- Space-group type: F-43m, No. 216
- Spin magnetization: 1.5475 μB/atom
- Energy of formation: -182 meV per atom
- VASP energy: -85.65 eV for the cell shown

Lattice parameters (Å, degrees): 7.500 7.500 7.500 90.00 90.00 90.00
Sites, in units of the cell vectors:
Pr (0.000, 0.000, 0.000)
Pr (0.000, 0.500, 0.500)
Pr (0.500, 0.000, 0.500)
Pr (0.500, 0.500, 0.000)
Pu (0.000, 0.000, 0.500)
Pu (0.000, 0.500, 0.000)
Pu (0.500, 0.000, 0.000)
Pu (0.500, 0.500, 0.500)
Zn (0.250, 0.250, 0.250)
Zn (0.250, 0.750, 0.750)
Zn (0.750, 0.250, 0.750)
Zn (0.750, 0.750, 0.250)
Hg (0.250, 0.250, 0.750)
Hg (0.250, 0.750, 0.250)
Hg (0.750, 0.250, 0.250)
Hg (0.750, 0.750, 0.750)